Below is a relaxed Ge2Se2S crystal, with properties calculated at the GGA-PBE level.

V	440	Å³/cell
uncorrected energy	-84.13	eV/cell
theoretical density	5.06	g/cm³

abc: 3.861 21.494 5.300
angles: 90.00 90.00 90.00
Space group Cmc2_1 (No. 36)
One atom of each set of equivalent atoms:
Ge 0.000 0.104 0.000 [4 per cell]
Ge 0.000 0.306 0.037 [4 per cell]
Se 0.000 0.296 0.542 [4 per cell]
Se 0.000 0.483 0.485 [4 per cell]
S 0.000 0.118 0.543 [4 per cell]

***

Below is a relaxed InAg2I crystal, with properties calculated at the GGA-PBE level.

V	219	Å³/cell
E above lowest polymorph	0.00	kcal/mol of atoms
theoretical density	6.94	g/cm³

abc: 4.273 4.322 11.922
angles: 95.68 90.63 90.00
Space group P1 (No. 1)
One atom of each set of equivalent atoms:
In 0.000 0.000 0.000 [1 per cell]
In 0.492 0.963 0.789 [1 per cell]
Ag 0.487 0.420 0.615 [1 per cell]
Ag 0.503 0.472 0.963 [1 per cell]
Ag 0.986 0.929 0.620 [1 per cell]
Ag 0.995 0.480 0.796 [1 per cell]
I 0.488 0.812 0.185 [1 per cell]
I 0.981 0.383 0.445 [1 per cell]

***

Below is a relaxed DyHo6Tm2Th3 crystal, with properties calculated at the GGA-PBE level.

V	750	Å³/cell
energy of formation	0.025	eV per atom
theoretical density	9.68	g/cm³

abc: 6.144 10.635 11.661
angles: 90.00 100.13 90.00
Space group C2/m (No. 12)
One atom of each set of equivalent atoms:
Dy 0.000 0.000 0.000 [2 per cell]
Ho 0.249 0.333 0.748 [8 per cell]
Ho 0.250 0.000 0.748 [4 per cell]
Tm 0.000 0.333 0.000 [4 per cell]
Th 0.000 0.167 0.500 [4 per cell]
Th 0.000 0.500 0.500 [2 per cell]

***

Below is a relaxed DyGaGe2 crystal, with properties calculated at the GGA-PBE level.

V	81	Å³/cell
E above lowest polymorph	3.02	kcal/mol of atoms
energy of formation	-0.326	eV per atom
theoretical density	7.72	g/cm³

abc: 3.641 3.641 6.128
angles: 90.00 90.00 90.00
Space group P4/mmm (No. 123)
One atom of each set of equivalent atoms:
Dy 0.000 0.000 0.000 [1 per cell]
Ga 0.000 0.000 0.500 [1 per cell]
Ge 0.500 0.500 0.287 [2 per cell]

***

Below is a relaxed Pm4Cu5Ni2 crystal, with properties calculated at the GGA-PBE level.

V	220	Å³/cell
energy of formation	-0.210	eV per atom
theoretical density	7.67	g/cm³

abc: 6.945 3.982 7.945
angles: 90.00 91.03 90.00
Space group P2/m (No. 10)
One atom of each set of equivalent atoms:
Pm 0.226 0.000 0.144 [2 per cell]
Pm 0.248 0.000 0.622 [2 per cell]
Cu 0.131 0.500 0.886 [2 per cell]
Cu 0.424 0.500 0.358 [2 per cell]
Cu 0.500 0.500 0.000 [1 per cell]
Ni 0.071 0.500 0.368 [2 per cell]

***

Below is a relaxed LaNd6Tm8 crystal, with properties calculated at the GGA-PBE level.

V	1486	Å³/cell
energy of formation	0.130	eV per atom
theoretical density	7.90	g/cm³

abc: 9.0395 9.0395 20.9973
angles: 90.00 90.00 120.00
Space group R-3 (No. 148, hexagonal axes)
One atom of each set of equivalent atoms:
La 0.0000 0.0000 0.0000 [3 per cell]
Nd 0.0597 0.2472 0.7116 [18 per cell]
Tm 0.0000 0.0000 0.4233 [6 per cell]
Tm 0.0794 0.5597 0.8079 [18 per cell]

***

Below is a relaxed Tc2HgAs crystal, with properties calculated at the GGA-PBE level.

V	139	Å³/cell
E above lowest polymorph	5.44	kcal/mol of atoms
energy of formation	0.367	eV per atom
theoretical density	11.25	g/cm³

abc: 4.418 2.965 10.627
angles: 90.00 90.00 90.00
Space group Amm2 (No. 38)
One atom of each set of equivalent atoms:
Tc 0.000 0.000 0.000 [2 per cell]
Tc 0.500 0.000 0.408 [2 per cell]
Hg 0.000 0.000 0.746 [2 per cell]
As 0.500 0.000 0.100 [2 per cell]

***

Below is a relaxed Cs2HgS6 crystal, with properties calculated at the GGA-PBE level.

V	360	Å³/cell
uncorrected energy	-29.54	eV/cell
theoretical density	3.04	g/cm³

abc: 4.407 8.056 10.876
angles: 108.85 98.75 90.48
Space group P-1 (No. 2)
One atom of each set of equivalent atoms:
Cs 0.071 0.331 0.185 [2 per cell]
Hg 0.500 0.000 0.500 [1 per cell]
S 0.326 0.577 0.520 [2 per cell]
S 0.472 0.385 0.928 [2 per cell]
S 0.474 0.053 0.928 [2 per cell]

***

Below is a relaxed HgMoAs2 crystal, with properties calculated at the GGA-PBE level.

V	149	Å³/cell
energy of formation	0.562	eV per atom
theoretical density	9.97	g/cm³

abc: 3.960 3.960 9.481
angles: 90.00 90.00 90.00
Space group I-4m2 (No. 119)
One atom of each set of equivalent atoms:
Hg 0.000 0.000 0.000 [2 per cell]
Mo 0.000 0.500 0.750 [2 per cell]
As 0.000 0.000 0.500 [2 per cell]
As 0.000 0.500 0.250 [2 per cell]

***

Below is a relaxed Pm6RuCl8 crystal, with properties calculated at the GGA-PBE level.

V	1369	Å³/cell
uncorrected energy	-231.87	eV/cell
theoretical density	4.57	g/cm³

abc: 7.4380 7.4380 28.5763
angles: 90.00 90.00 120.00
Space group R-3 (No. 148, hexagonal axes)
One atom of each set of equivalent atoms:
Pm 0.0020 0.7116 0.0584 [18 per cell]
Ru 0.0000 0.0000 0.0000 [3 per cell]
Cl 0.0000 0.0000 0.3335 [6 per cell]
Cl 0.0025 0.6462 0.8914 [18 per cell]

***

Below is a relaxed Cd8Ag2Hg crystal, with properties calculated at the GGA-PBE level.

V	478	Å³/cell
E above lowest polymorph	0.00	kcal/mol of atoms
energy of formation	0.005	eV per atom
theoretical density	9.13	g/cm³

abc: 15.241 4.300 7.463
angles: 90.00 102.07 90.00
Space group C2/m (No. 12)
One atom of each set of equivalent atoms:
Cd 0.046 0.000 0.228 [4 per cell]
Cd 0.097 0.500 0.974 [4 per cell]
Cd 0.143 0.000 0.712 [4 per cell]
Cd 0.183 0.500 0.414 [4 per cell]
Ag 0.227 0.000 0.139 [4 per cell]
Hg 0.000 0.500 0.500 [2 per cell]

***

Below is a relaxed PmHPd crystal, with properties calculated at the GGA-PBE level.

V	98	Å³/cell
E above lowest polymorph	0.00	kcal/mol of atoms
theoretical density	8.56	g/cm³

abc: 5.186 3.610 5.237
angles: 90.00 93.11 90.00
Space group P2/m (No. 10)
One atom of each set of equivalent atoms:
Pm 0.250 0.000 0.243 [2 per cell]
H 0.500 0.500 0.000 [1 per cell]
H 0.500 0.500 0.500 [1 per cell]
Pd 0.225 0.500 0.728 [2 per cell]